# 1
17
Lattice="-4.466 4.466 4.466 4.466 -4.466 4.466 4.466 4.466 -4.466" Properties=species:S:1:pos:R:3 comment="CaZn4Au12, relaxed, DFT PBE" dft_energy_ev_per_atom=-2.73 crystal_system=cubic formation_energy_mev_per_atom=-1.1 n_ef_per_ev_cell=3.71 pbc="T T T"
Ca 0.000 0.000 0.000
Zn 2.233 2.233 -2.233
Zn 2.233 -2.233 2.233
Zn -2.233 2.233 2.233
Zn 2.233 2.233 2.233
Au 3.078 0.000 1.383
Au 5.855 0.000 1.383
Au 4.466 3.084 -1.388
Au 1.383 3.078 0.000
Au 3.084 -1.388 4.466
Au 0.000 1.383 3.078
Au 4.466 3.084 1.388
Au 1.383 5.855 0.000
Au 3.084 1.388 4.466
Au 0.000 1.383 5.855
Au -1.388 4.466 3.084
Au 1.388 4.466 3.084


# 2
14
Lattice="-2.193 4.581 6.663 2.193 -4.581 6.663 2.193 4.581 -6.663" Properties=species:S:1:pos:R:3 comment="Ca3Zn9Au2, relaxed, DFT PBE" dft_energy_ev_per_atom=-2.06 crystal_system=orthorhombic formation_energy_mev_per_atom=-342.5 n_ef_per_ev_cell=7.21 pbc="T T T"
Ca 0.000 0.000 0.000
Ca 0.000 0.000 4.085
Ca 0.000 0.000 9.241
Zn 2.193 -1.296 2.329
Zn 2.193 -2.010 4.930
Zn 2.193 1.296 2.329
Zn 0.000 2.571 1.734
Zn 0.000 4.581 0.000
Zn 2.193 2.010 4.930
Zn 0.000 3.285 4.334
Zn 0.000 6.591 1.734
Zn 0.000 5.877 4.334
Au 2.193 2.670 0.000
Au 0.000 1.911 6.663


# 3
10
Lattice="4.047 0.000 0.000 0.000 4.047 0.000 0.000 0.000 12.272" Properties=species:S:1:pos:R:3 comment="Ca2Zn5Au3, relaxed, DFT PBE" dft_energy_ev_per_atom=-2.41 e_above_lowest_polymorph_mev_per_atom=54 crystal_system=tetragonal formation_energy_mev_per_atom=-387.2 n_ef_per_ev_cell=2.81 pbc="T T T"
Ca 0.000 2.024 2.959
Ca 2.024 0.000 9.314
Zn 0.000 0.000 0.000
Zn 0.000 0.000 6.136
Zn 0.000 2.024 10.673
Zn 2.024 0.000 1.599
Zn 2.024 2.024 0.000
Au 0.000 2.024 8.107
Au 2.024 0.000 4.165
Au 2.024 2.024 6.136


# 4
24
Lattice="-5.408 5.408 3.499 5.408 -5.408 3.499 5.408 5.408 -3.499" Properties=species:S:1:pos:R:3 comment="CaZn9Au2, relaxed, DFT PBE" dft_energy_ev_per_atom=-1.92 e_above_lowest_polymorph_mev_per_atom=0 crystal_system=tetragonal formation_energy_mev_per_atom=-249.6 n_ef_per_ev_cell=8.71 pbc="T T T"
Ca 5.408 2.704 0.875
Ca 0.000 2.704 2.624
Zn 5.408 -2.704 2.624
Zn 4.098 -0.445 1.215
Zn 6.719 -0.445 1.215
Zn 2.259 1.394 0.535
Zn 8.557 1.394 0.535
Zn 4.098 4.964 -1.215
Zn 1.310 -0.445 2.284
Zn 2.259 4.015 0.535
Zn 3.149 -1.394 4.034
Zn 2.259 6.802 -0.535
Zn 3.149 1.394 2.964
Zn 4.098 5.853 1.215
Zn 1.310 0.445 4.714
Zn -3.149 4.015 2.964
Zn 3.149 4.015 2.964
Zn -1.310 5.853 2.284
Zn 1.310 5.853 2.284
Zn 0.000 8.113 0.875
Au 0.000 0.000 0.000
Au 2.704 2.704 -1.749
Au 2.704 -2.704 1.749
Au 0.000 5.408 0.000


# 5
10
Lattice="-3.394 6.195 3.064 3.394 -6.195 3.064 3.394 6.195 -3.064" Properties=species:S:1:pos:R:3 comment="Ca2ZnAu2, relaxed, DFT PBE" dft_energy_ev_per_atom=-2.97 crystal_system=orthorhombic formation_energy_mev_per_atom=-601.3 n_ef_per_ev_cell=3.63 pbc="T T T"
Ca 1.225 1.780 0.000
Ca 1.225 -1.780 3.064
Ca 2.169 7.975 0.000
Ca 2.169 4.416 3.064
Zn 3.394 0.000 1.532
Zn 0.000 6.195 1.532
Au 4.999 1.429 0.000
Au 1.604 4.767 0.000
Au 1.790 1.429 3.064
Au -1.604 4.767 3.064


# 6
9
Lattice="3.929 0.000 0.000 0.000 3.929 0.000 0.000 0.000 10.497" Properties=species:S:1:pos:R:3 comment="CaZn6Au2, relaxed, DFT PBE" dft_energy_ev_per_atom=-2.07 e_above_lowest_polymorph_mev_per_atom=0 crystal_system=tetragonal formation_energy_mev_per_atom=-267.3 n_ef_per_ev_cell=3.08 pbc="T T T"
Ca 0.000 0.000 0.000
Zn 0.000 0.000 5.249
Zn 0.000 1.964 3.261
Zn 0.000 1.964 7.237
Zn 1.964 0.000 3.261
Zn 1.964 0.000 7.237
Zn 1.964 1.964 5.249
Au 1.964 1.964 1.411
Au 1.964 1.964 9.086


# 7
12
Lattice="-2.103 2.103 14.420 2.103 -2.103 14.420 2.103 2.103 -14.420" Properties=species:S:1:pos:R:3 comment="Ca3Zn2Au7, relaxed, DFT PBE" dft_energy_ev_per_atom=-3.13 e_above_lowest_polymorph_mev_per_atom=0 crystal_system=tetragonal formation_energy_mev_per_atom=-503.7 n_ef_per_ev_cell=3.70 pbc="T T T"
Ca 0.000 0.000 0.000
Ca 0.000 0.000 5.027
Ca 0.000 0.000 23.812
Zn 0.000 0.000 10.587
Zn 0.000 0.000 18.252
Au 2.103 0.000 2.263
Au 0.000 0.000 8.026
Au 2.103 0.000 12.156
Au 0.000 0.000 14.420
Au 0.000 2.103 2.263
Au 0.000 0.000 20.814
Au 0.000 2.103 12.156


# 8
14
Lattice="10.322 0.000 0.000 0.000 4.433 0.000 -2.638 0.000 6.387" Properties=species:S:1:pos:R:3 comment="Ca2Zn3Au2, relaxed, DFT PBE" dft_energy_ev_per_atom=-2.56 crystal_system=monoclinic formation_energy_mev_per_atom=-510.3 n_ef_per_ev_cell=5.53 pbc="T T T"
Ca 0.827 0.000 1.716
Ca 1.696 2.216 4.671
Ca 5.988 2.216 1.716
Ca 6.857 0.000 4.671
Zn -1.319 2.216 3.194
Zn -1.341 2.216 5.930
Zn 3.864 0.000 0.457
Zn 3.842 0.000 3.194
Zn 3.820 0.000 5.930
Zn 9.025 2.216 0.457
Au -0.431 0.000 4.626
Au 2.954 2.216 1.761
Au 4.730 2.216 4.626
Au 8.115 0.000 1.761


Which formula does entry 1 have? CaZn4Au12